Model i:
The following is a DFT calculation (PBE-GGA) of a relaxed structure of SmYCd4.

a = 3.469 Å, b = 8.664 Å, c = 4.999 Å
α = 90.00°, β = 90.14°, γ = 90.00°
Element x y z (fractional)
Sm 0.000 0.000 0.000
Y 0.000 0.500 0.500
Cd 0.500 0.169 0.500
Cd 0.500 0.335 0.000
Cd 0.500 0.665 0.000
Cd 0.500 0.831 0.500

Volume ... 25.04 Å³ per atom
M_tot ... 0.00 μB per formula unit

=====

Model ii:
The following is a DFT calculation (PBE-GGA) of a relaxed structure of SmYCd4.

a = 5.941 Å, b = 5.941 Å, c = 5.941 Å
α = 60.00°, β = 60.00°, γ = 60.00°
Element x y z (fractional)
Sm 0.000 0.000 0.000
Y 0.250 0.250 0.250
Cd 0.125 0.625 0.625
Cd 0.625 0.125 0.625
Cd 0.625 0.625 0.125
Cd 0.625 0.625 0.625

Volume ... 24.71 Å³ per atom
M_tot ... 0.00 μB per formula unit

=====

Stability verdict: model i, ahead by 56 meV/atom

=====

Model i:
The following is a DFT calculation (PBE-GGA) of a relaxed structure of Sm4YCd.

a = 10.843 Å, b = 10.843 Å, c = 6.535 Å
α = 90.00°, β = 90.00°, γ = 149.78°
Element x y z (fractional)
Sm 0.040 0.960 0.500
Sm 0.184 0.816 0.673
Sm 0.251 0.749 0.211
Sm 0.439 0.561 0.319
Sm 0.561 0.439 0.819
Sm 0.749 0.251 0.711
Sm 0.816 0.184 0.173
Sm 0.960 0.040 0.000
Y 0.365 0.635 0.816
Y 0.635 0.365 0.316
Cd 0.106 0.894 0.071
Cd 0.894 0.106 0.571

Volume ... 32.22 Å³ per atom
M_tot ... 0.00 μB per formula unit

=====

Model ii:
The following is a DFT calculation (PBE-GGA) of a relaxed structure of Sm4YCd.

a = 3.640 Å, b = 3.640 Å, c = 14.283 Å
α = 90.00°, β = 90.00°, γ = 90.00°
Element x y z (fractional)
Sm 0.000 0.000 0.146
Sm 0.000 0.000 0.854
Sm 0.500 0.500 0.323
Sm 0.500 0.500 0.677
Y 0.000 0.000 0.500
Cd 0.500 0.500 0.000

Volume ... 31.55 Å³ per atom
M_tot ... 0.00 μB per formula unit

=====

Stability verdict: model ii, ahead by 129 meV/atom

=====

Model i:
The following is a DFT calculation (PBE-GGA) of a relaxed structure of Sm4Y3Cd.

a = 3.630 Å, b = 3.630 Å, c = 19.329 Å
α = 90.00°, β = 90.00°, γ = 90.00°
Element x y z (fractional)
Sm 0.000 0.000 0.108
Sm 0.000 0.000 0.370
Sm 0.000 0.000 0.630
Sm 0.000 0.000 0.892
Y 0.500 0.500 0.239
Y 0.500 0.500 0.500
Y 0.500 0.500 0.761
Cd 0.500 0.500 0.000

Volume ... 31.84 Å³ per atom
M_tot ... 0.00 μB per formula unit

=====

Model ii:
The following is a DFT calculation (PBE-GGA) of a relaxed structure of Sm4Y3Cd.

a = 11.742 Å, b = 11.742 Å, c = 5.993 Å
α = 91.13°, β = 91.13°, γ = 17.78°
Element x y z (fractional)
Sm 0.117 0.117 0.392
Sm 0.372 0.372 0.107
Sm 0.628 0.628 0.893
Sm 0.883 0.883 0.608
Y 0.000 0.000 0.000
Y 0.254 0.254 0.750
Y 0.746 0.746 0.250
Cd 0.500 0.500 0.500

Volume ... 31.53 Å³ per atom
M_tot ... 0.00 μB per formula unit

=====

Stability verdict: model i, ahead by 33 meV/atom

=====

Model i:
The following is a DFT calculation (PBE-GGA) of a relaxed structure of Sm3YCd2.

a = 3.743 Å, b = 3.743 Å, c = 12.724 Å
α = 90.00°, β = 90.00°, γ = 90.00°
Element x y z (fractional)
Sm 0.000 0.000 0.000
Sm 0.000 0.000 0.307
Sm 0.000 0.000 0.693
Y 0.500 0.500 0.500
Cd 0.500 0.500 0.154
Cd 0.500 0.500 0.846

Volume ... 29.71 Å³ per atom
M_tot ... 0.26 μB per formula unit

=====

Model ii:
The following is a DFT calculation (PBE-GGA) of a relaxed structure of Sm3YCd2.

a = 7.710 Å, b = 7.710 Å, c = 4.845 Å
α = 90.00°, β = 90.00°, γ = 142.99°
Element x y z (fractional)
Sm 0.000 0.000 0.000
Sm 0.327 0.673 0.000
Sm 0.673 0.327 0.000
Y 0.500 0.500 0.500
Cd 0.165 0.835 0.500
Cd 0.835 0.165 0.500

Volume ... 28.89 Å³ per atom
M_tot ... 0.00 μB per formula unit

=====

Stability verdict: model i, ahead by 60 meV/atom

=====

Model i:
The following is a DFT calculation (PBE-GGA) of a relaxed structure of SmYZnCd.

a = 3.635 Å, b = 3.635 Å, c = 7.638 Å
α = 90.00°, β = 90.00°, γ = 90.00°
Element x y z (fractional)
Sm 0.000 0.000 0.000
Y 0.000 0.000 0.461
Zn 0.500 0.500 0.240
Cd 0.500 0.500 0.722

Volume ... 25.23 Å³ per atom
M_tot ... 0.00 μB per formula unit

=====

Model ii:
The following is a DFT calculation (PBE-GGA) of a relaxed structure of SmYZnCd.

a = 5.243 Å, b = 5.243 Å, c = 5.243 Å
α = 60.00°, β = 60.00°, γ = 60.00°
Element x y z (fractional)
Sm 0.000 0.000 0.000
Y 0.500 0.500 0.500
Zn 0.750 0.750 0.750
Cd 0.250 0.250 0.250

Volume ... 25.48 Å³ per atom
M_tot ... 0.00 μB per formula unit

=====

Stability verdict: model i, ahead by 20 meV/atom

=====

Model i:
The following is a DFT calculation (PBE-GGA) of a relaxed structure of SmZn2Cd.

a = 3.444 Å, b = 3.444 Å, c = 7.182 Å
α = 90.00°, β = 90.00°, γ = 90.00°
Element x y z (fractional)
Sm 0.000 0.000 0.000
Zn 0.500 0.500 0.275
Zn 0.500 0.500 0.725
Cd 0.000 0.000 0.500

Volume ... 21.30 Å³ per atom
M_tot ... 0.00 μB per formula unit

=====

Model ii:
The following is a DFT calculation (PBE-GGA) of a relaxed structure of SmZn2Cd.

a = 4.869 Å, b = 4.869 Å, c = 4.869 Å
α = 60.00°, β = 60.00°, γ = 60.00°
Element x y z (fractional)
Sm 0.000 0.000 0.000
Zn 0.250 0.250 0.250
Zn 0.750 0.750 0.750
Cd 0.500 0.500 0.500

Volume ... 20.41 Å³ per atom
M_tot ... 0.00 μB per formula unit

=====

Model iii:
The following is a DFT calculation (PBE-GGA) of a relaxed structure of SmZn2Cd.

a = 4.546 Å, b = 4.546 Å, c = 4.271 Å
α = 90.00°, β = 90.00°, γ = 90.00°
Element x y z (fractional)
Sm 0.000 0.000 0.000
Zn 0.000 0.500 0.500
Zn 0.500 0.000 0.500
Cd 0.500 0.500 0.000

Volume ... 22.06 Å³ per atom
M_tot ... 0.00 μB per formula unit

=====

Stability verdict: model ii, ahead by 128 meV/atom

=====

Model i:
The following is a DFT calculation (PBE-GGA) of a relaxed structure of Sm4ZnCd3.

a = 3.737 Å, b = 3.737 Å, c = 15.339 Å
α = 90.00°, β = 90.00°, γ = 90.00°
Element x y z (fractional)
Sm 0.000 0.000 0.112
Sm 0.000 0.000 0.372
Sm 0.000 0.000 0.628
Sm 0.000 0.000 0.888
Zn 0.500 0.500 0.000
Cd 0.500 0.500 0.243
Cd 0.500 0.500 0.500
Cd 0.500 0.500 0.757

Volume ... 26.78 Å³ per atom
M_tot ... 0.73 μB per formula unit

=====

Model ii:
The following is a DFT calculation (PBE-GGA) of a relaxed structure of Sm4ZnCd3.

a = 3.595 Å, b = 4.894 Å, c = 12.307 Å
α = 90.00°, β = 90.00°, γ = 90.00°
Element x y z (fractional)
Sm 0.000 0.000 0.000
Sm 0.000 0.500 0.306
Sm 0.500 0.000 0.486
Sm 0.500 0.500 0.813
Zn 0.500 0.000 0.224
Cd 0.000 0.000 0.722
Cd 0.000 0.500 0.580
Cd 0.500 0.500 0.085

Volume ... 27.07 Å³ per atom
M_tot ... 0.00 μB per formula unit

=====

Stability verdict: model i, ahead by 60 meV/atom

=====

Model i:
The following is a DFT calculation (PBE-GGA) of a relaxed structure of Sm3Zn4Cd4.

a = 8.699 Å, b = 8.699 Å, c = 8.699 Å
α = 150.79°, β = 128.33°, γ = 60.46°
Element x y z (fractional)
Sm 0.000 0.000 0.000
Sm 0.377 0.877 0.500
Sm 0.623 0.123 0.500
Zn 0.224 0.224 0.000
Zn 0.325 0.500 0.825
Zn 0.675 0.500 0.175
Zn 0.776 0.776 0.000
Cd 0.025 0.332 0.693
Cd 0.362 0.668 0.693
Cd 0.638 0.332 0.307
Cd 0.975 0.668 0.307

Volume ... 22.72 Å³ per atom
M_tot ... 0.00 μB per formula unit

=====

Model ii:
The following is a DFT calculation (PBE-GGA) of a relaxed structure of Sm3Zn4Cd4.

a = 3.689 Å, b = 4.698 Å, c = 14.751 Å
α = 80.90°, β = 82.82°, γ = 89.99°
Element x y z (fractional)
Sm 0.000 0.000 0.000
Sm 0.142 0.642 0.716
Sm 0.858 0.358 0.284
Zn 0.314 0.815 0.370
Zn 0.457 0.455 0.090
Zn 0.543 0.545 0.910
Zn 0.686 0.185 0.630
Cd 0.261 0.261 0.480
Cd 0.407 0.907 0.185
Cd 0.593 0.093 0.815
Cd 0.739 0.739 0.520

Volume ... 22.76 Å³ per atom
M_tot ... 0.00 μB per formula unit

=====

Stability verdict: model ii, ahead by 19 meV/atom

=====

Model i:
The following is a DFT calculation (PBE-GGA) of a relaxed structure of Sm2ZnCd2.

a = 10.512 Å, b = 10.512 Å, c = 3.511 Å
α = 90.00°, β = 90.00°, γ = 160.19°
Element x y z (fractional)
Sm 0.089 0.911 0.000
Sm 0.911 0.089 0.000
Zn 0.500 0.500 0.500
Cd 0.306 0.694 0.500
Cd 0.694 0.306 0.500

Volume ... 26.30 Å³ per atom
M_tot ... 0.00 μB per formula unit

=====

Model ii:
The following is a DFT calculation (PBE-GGA) of a relaxed structure of Sm2ZnCd2.

a = 5.969 Å, b = 5.969 Å, c = 11.118 Å
α = 113.19°, β = 113.19°, γ = 46.38°
Element x y z (fractional)
Sm 0.028 0.028 0.342
Sm 0.189 0.189 0.106
Sm 0.811 0.811 0.894
Sm 0.972 0.972 0.658
Zn 0.272 0.272 0.659
Zn 0.728 0.728 0.341
Cd 0.356 0.356 0.430
Cd 0.481 0.481 0.122
Cd 0.519 0.519 0.878
Cd 0.644 0.644 0.570

Volume ... 25.91 Å³ per atom
M_tot ... 0.00 μB per formula unit

=====

Stability verdict: model ii, ahead by 57 meV/atom

=====

Model i:
The following is a DFT calculation (PBE-GGA) of a relaxed structure of Sm2ZnCd3.

a = 3.453 Å, b = 4.956 Å, c = 8.527 Å
α = 90.00°, β = 90.00°, γ = 90.00°
Element x y z (fractional)
Sm 0.000 0.000 0.000
Sm 0.000 0.500 0.484
Zn 0.500 0.000 0.324
Cd 0.500 0.000 0.651
Cd 0.500 0.500 0.163
Cd 0.500 0.500 0.823

Volume ... 24.32 Å³ per atom
M_tot ... 0.00 μB per formula unit

=====

Model ii:
The following is a DFT calculation (PBE-GGA) of a relaxed structure of Sm2ZnCd3.

a = 9.164 Å, b = 9.164 Å, c = 9.164 Å
α = 157.57°, β = 148.57°, γ = 38.95°
Element x y z (fractional)
Sm 0.000 0.000 0.000
Sm 0.771 0.271 0.500
Zn 0.451 0.451 0.000
Cd 0.177 0.677 0.500
Cd 0.341 0.841 0.500
Cd 0.602 0.602 0.000

Volume ... 25.48 Å³ per atom
M_tot ... 0.00 μB per formula unit

=====

Stability verdict: model i, ahead by 104 meV/atom

=====

Model i:
The following is a DFT calculation (PBE-GGA) of a relaxed structure of Sm2Zn3Cd.

a = 9.306 Å, b = 8.817 Å, c = 5.887 Å
α = 75.61°, β = 66.60°, γ = 37.79°
Element x y z (fractional)
Sm 0.249 0.751 0.751
Sm 0.250 0.250 0.250
Sm 0.750 0.750 0.750
Sm 0.751 0.249 0.249
Zn 0.162 0.162 0.838
Zn 0.162 0.675 0.325
Zn 0.325 0.838 0.162
Zn 0.675 0.162 0.838
Zn 0.838 0.325 0.675
Zn 0.838 0.838 0.162
Cd 0.334 0.334 0.666
Cd 0.666 0.666 0.334

Volume ... 22.49 Å³ per atom
M_tot ... 0.00 μB per formula unit

=====

Model ii:
The following is a DFT calculation (PBE-GGA) of a relaxed structure of Sm2Zn3Cd.

a = 8.575 Å, b = 8.575 Å, c = 8.575 Å
α = 154.98°, β = 148.56°, γ = 40.59°
Element x y z (fractional)
Sm 0.000 0.000 0.000
Sm 0.771 0.271 0.500
Zn 0.178 0.678 0.500
Zn 0.334 0.834 0.500
Zn 0.432 0.432 0.000
Cd 0.598 0.598 0.000

Volume ... 23.14 Å³ per atom
M_tot ... 0.00 μB per formula unit

=====

Stability verdict: model i, ahead by 62 meV/atom

=====

Model i:
The following is a DFT calculation (PBE-GGA) of a relaxed structure of Sm8ZnCd2.

a = 9.468 Å, b = 9.468 Å, c = 6.743 Å
α = 91.99°, β = 91.99°, γ = 33.10°
Element x y z (fractional)
Sm 0.033 0.033 0.261
Sm 0.211 0.211 0.093
Sm 0.329 0.329 0.596
Sm 0.408 0.408 0.094
Sm 0.592 0.592 0.906
Sm 0.671 0.671 0.404
Sm 0.789 0.789 0.907
Sm 0.967 0.967 0.739
Zn 0.500 0.500 0.500
Cd 0.150 0.150 0.648
Cd 0.850 0.850 0.352

Volume ... 29.99 Å³ per atom
M_tot ... 0.00 μB per formula unit

=====

Model ii:
The following is a DFT calculation (PBE-GGA) of a relaxed structure of Sm8ZnCd2.

a = 9.566 Å, b = 9.566 Å, c = 7.016 Å
α = 105.09°, β = 105.09°, γ = 32.42°
Element x y z (fractional)
Sm 0.019 0.019 0.272
Sm 0.199 0.199 0.795
Sm 0.340 0.340 0.533
Sm 0.408 0.408 0.046
Sm 0.592 0.592 0.954
Sm 0.660 0.660 0.467
Sm 0.801 0.801 0.205
Sm 0.981 0.981 0.728
Zn 0.500 0.500 0.500
Cd 0.184 0.184 0.222
Cd 0.816 0.816 0.778

Volume ... 30.12 Å³ per atom
M_tot ... 0.00 μB per formula unit

=====

Stability verdict: model i, ahead by 30 meV/atom